Version one
DFT (GGA-PBE) results for a relaxed structure of Be2AsPd8.

Structure (CIF):
```
data_Be2AsPd8
_chemical_formula_sum 'Be2 As1 Pd8'
_space_group_name_H-M_alt 'P 1'
_space_group_IT_number 1
_cell_length_a 7.451
_cell_length_b 7.451
_cell_length_c 5.740
_cell_angle_alpha 106.05
_cell_angle_beta 106.05
_cell_angle_gamma 30.87
loop_
_space_group_symop_operation_xyz
'x,y,z'
loop_
_atom_site_label
_atom_site_type_symbol
_atom_site_fract_x
_atom_site_fract_y
_atom_site_fract_z
Be1 Be 0.187 0.187 0.204
Be2 Be 0.813 0.813 0.796
As1 As 0.500 0.500 0.500
Pd1 Pd 0.033 0.033 0.267
Pd2 Pd 0.203 0.203 0.820
Pd3 Pd 0.327 0.327 0.531
Pd4 Pd 0.403 0.403 0.030
Pd5 Pd 0.597 0.597 0.970
Pd6 Pd 0.673 0.673 0.469
Pd7 Pd 0.797 0.797 0.180
Pd8 Pd 0.967 0.967 0.733
```

## Properties
* spin magnetization: 0.000 μB/atom

---

Version two
DFT (GGA-PBE) results for a relaxed structure of Be2AsPd8.

Structure (CIF):
```
data_Be2AsPd8
_chemical_formula_sum 'Be2 As1 Pd8'
_space_group_name_H-M_alt 'P 1'
_space_group_IT_number 1
_cell_length_a 6.811
_cell_length_b 6.811
_cell_length_c 6.811
_cell_angle_alpha 144.59
_cell_angle_beta 117.75
_cell_angle_gamma 73.70
loop_
_space_group_symop_operation_xyz
'x,y,z'
loop_
_atom_site_label
_atom_site_type_symbol
_atom_site_fract_x
_atom_site_fract_y
_atom_site_fract_z
Be1 Be 0.194 0.194 0.000
Be2 Be 0.806 0.806 0.000
As1 As 0.500 0.500 0.000
Pd1 Pd 0.062 0.340 0.722
Pd2 Pd 0.178 0.000 0.178
Pd3 Pd 0.362 0.862 0.500
Pd4 Pd 0.383 0.660 0.722
Pd5 Pd 0.617 0.340 0.278
Pd6 Pd 0.638 0.138 0.500
Pd7 Pd 0.822 0.000 0.822
Pd8 Pd 0.938 0.660 0.278
```

## Properties
* spin magnetization: 0.000 μB/atom

---

In order of decreasing stability: version one, version two.

---

Version one
DFT (GGA-PBE) results for a relaxed structure of PrBeAs2.

Structure (CIF):
```
data_PrBeAs2
_chemical_formula_sum 'Pr1 Be1 As2'
_space_group_name_H-M_alt 'P 1'
_space_group_IT_number 1
_cell_length_a 7.893
_cell_length_b 7.893
_cell_length_c 7.893
_cell_angle_alpha 32.20
_cell_angle_beta 32.20
_cell_angle_gamma 32.20
loop_
_space_group_symop_operation_xyz
'x,y,z'
loop_
_atom_site_label
_atom_site_type_symbol
_atom_site_fract_x
_atom_site_fract_y
_atom_site_fract_z
Pr1 Pr 0.000 0.000 0.000
Be1 Be 0.500 0.500 0.500
As1 As 0.407 0.407 0.407
As2 As 0.593 0.593 0.593
```

## Properties
* spin magnetization: 0.000 μB/atom

---

Version two
DFT (GGA-PBE) results for a relaxed structure of PrBeAs2.

Structure (CIF):
```
data_PrBeAs2
_chemical_formula_sum 'Pr2 Be2 As4'
_space_group_name_H-M_alt 'P 1'
_space_group_IT_number 1
_cell_length_a 3.970
_cell_length_b 3.970
_cell_length_c 10.081
_cell_angle_alpha 90.00
_cell_angle_beta 90.00
_cell_angle_gamma 90.00
loop_
_space_group_symop_operation_xyz
'x,y,z'
loop_
_atom_site_label
_atom_site_type_symbol
_atom_site_fract_x
_atom_site_fract_y
_atom_site_fract_z
Pr1 Pr 0.250 0.250 0.233
Pr2 Pr 0.750 0.750 0.767
Be1 Be 0.250 0.750 0.500
Be2 Be 0.750 0.250 0.500
As1 As 0.250 0.250 0.627
As2 As 0.250 0.750 0.000
As3 As 0.750 0.250 0.000
As4 As 0.750 0.750 0.373
```

## Properties
* spin magnetization: 0.000 μB/atom

---

Version three
DFT (GGA-PBE) results for a relaxed structure of PrBeAs2.

Structure (CIF):
```
data_PrBeAs2
_chemical_formula_sum 'Pr2 Be2 As4'
_space_group_name_H-M_alt 'P 1'
_space_group_IT_number 1
_cell_length_a 10.360
_cell_length_b 10.360
_cell_length_c 10.360
_cell_angle_alpha 157.75
_cell_angle_beta 157.75
_cell_angle_gamma 31.67
loop_
_space_group_symop_operation_xyz
'x,y,z'
loop_
_atom_site_label
_atom_site_type_symbol
_atom_site_fract_x
_atom_site_fract_y
_atom_site_fract_z
Pr1 Pr 0.116 0.116 0.000
Pr2 Pr 0.884 0.884 0.000
Be1 Be 0.250 0.750 0.500
Be2 Be 0.750 0.250 0.500
As1 As 0.000 0.500 0.500
As2 As 0.314 0.314 0.000
As3 As 0.500 0.000 0.500
As4 As 0.686 0.686 0.000
```

## Properties
* spin magnetization: 0.000 μB/atom

---

In order of decreasing stability: version two, version three, version one.

---

Version one
DFT (GGA-PBE) results for a relaxed structure of Be2As2Pt.

Structure (CIF):
```
data_Be2As2Pt
_chemical_formula_sum 'Be2 As2 Pt1'
_space_group_name_H-M_alt 'P 1'
_space_group_IT_number 1
_cell_length_a 6.031
_cell_length_b 6.031
_cell_length_c 6.031
_cell_angle_alpha 144.48
_cell_angle_beta 144.48
_cell_angle_gamma 51.11
loop_
_space_group_symop_operation_xyz
'x,y,z'
loop_
_atom_site_label
_atom_site_type_symbol
_atom_site_fract_x
_atom_site_fract_y
_atom_site_fract_z
Be1 Be 0.095 0.095 0.000
Be2 Be 0.905 0.905 0.000
As1 As 0.250 0.750 0.500
As2 As 0.750 0.250 0.500
Pt1 Pt 0.500 0.500 0.000
```

## Properties
* spin magnetization: 0.000 μB/atom

---

Version two
DFT (GGA-PBE) results for a relaxed structure of Be2As2Pt.

Structure (CIF):
```
data_Be2As2Pt
_chemical_formula_sum 'Be4 As4 Pt2'
_space_group_name_H-M_alt 'P 1'
_space_group_IT_number 1
_cell_length_a 6.325
_cell_length_b 6.325
_cell_length_c 3.448
_cell_angle_alpha 90.00
_cell_angle_beta 90.00
_cell_angle_gamma 90.00
loop_
_space_group_symop_operation_xyz
'x,y,z'
loop_
_atom_site_label
_atom_site_type_symbol
_atom_site_fract_x
_atom_site_fract_y
_atom_site_fract_z
Be1 Be 0.125 0.375 0.000
Be2 Be 0.375 0.875 0.000
Be3 Be 0.625 0.125 0.000
Be4 Be 0.875 0.625 0.000
As1 As 0.182 0.682 0.500
As2 As 0.318 0.182 0.500
As3 As 0.682 0.818 0.500
As4 As 0.818 0.318 0.500
Pt1 Pt 0.000 0.000 0.000
Pt2 Pt 0.500 0.500 0.000
```

## Properties
* spin magnetization: 0.000 μB/atom

---

In order of decreasing stability: version two, version one.

---

Version one
DFT (GGA-PBE) results for a relaxed structure of BeAsPtSe2.

Structure (CIF):
```
data_BeAsPtSe2
_chemical_formula_sum 'Be1 As1 Pt1 Se2'
_space_group_name_H-M_alt 'P 1'
_space_group_IT_number 1
_cell_length_a 4.531
_cell_length_b 4.531
_cell_length_c 4.334
_cell_angle_alpha 90.00
_cell_angle_beta 90.00
_cell_angle_gamma 90.00
loop_
_space_group_symop_operation_xyz
'x,y,z'
loop_
_atom_site_label
_atom_site_type_symbol
_atom_site_fract_x
_atom_site_fract_y
_atom_site_fract_z
Be1 Be 0.000 0.000 0.000
As1 As 0.000 0.000 0.500
Pt1 Pt 0.500 0.500 0.500
Se1 Se 0.000 0.500 0.000
Se2 Se 0.500 0.000 0.000
```

## Properties
* spin magnetization: 0.000 μB/atom

---

Version two
DFT (GGA-PBE) results for a relaxed structure of BeAsPtSe2.

Structure (CIF):
```
data_BeAsPtSe2
_chemical_formula_sum 'Be1 As1 Pt1 Se2'
_space_group_name_H-M_alt 'P 1'
_space_group_IT_number 1
_cell_length_a 5.178
_cell_length_b 5.178
_cell_length_c 4.619
_cell_angle_alpha 90.00
_cell_angle_beta 90.00
_cell_angle_gamma 90.00
loop_
_space_group_symop_operation_xyz
'x,y,z'
loop_
_atom_site_label
_atom_site_type_symbol
_atom_site_fract_x
_atom_site_fract_y
_atom_site_fract_z
Be1 Be 0.000 0.000 0.000
As1 As 0.500 0.500 0.000
Pt1 Pt 0.500 0.500 0.500
Se1 Se 0.000 0.500 0.500
Se2 Se 0.500 0.000 0.500
```

## Properties
* spin magnetization: 0.000 μB/atom

---

In order of decreasing stability: version one, version two.

---

Version one
DFT (GGA-PBE) results for a relaxed structure of PuBeAs.

Structure (CIF):
```
data_PuBeAs
_chemical_formula_sum 'Pu2 Be2 As2'
_space_group_name_H-M_alt 'P 1'
_space_group_IT_number 1
_cell_length_a 7.068
_cell_length_b 7.068
_cell_length_c 4.237
_cell_angle_alpha 90.00
_cell_angle_beta 90.00
_cell_angle_gamma 145.96
loop_
_space_group_symop_operation_xyz
'x,y,z'
loop_
_atom_site_label
_atom_site_type_symbol
_atom_site_fract_x
_atom_site_fract_y
_atom_site_fract_z
Pu1 Pu 0.139 0.861 0.750
Pu2 Pu 0.861 0.139 0.250
Be1 Be 0.500 0.500 0.000
Be2 Be 0.500 0.500 0.500
As1 As 0.352 0.648 0.750
As2 As 0.648 0.352 0.250
```

## Properties
* spin magnetization: 1.832 μB/atom

---

Version two
DFT (GGA-PBE) results for a relaxed structure of PuBeAs.

Structure (CIF):
```
data_PuBeAs
_chemical_formula_sum 'Pu1 Be1 As1'
_space_group_name_H-M_alt 'P 1'
_space_group_IT_number 1
_cell_length_a 3.858
_cell_length_b 3.858
_cell_length_c 4.177
_cell_angle_alpha 90.00
_cell_angle_beta 90.00
_cell_angle_gamma 120.00
loop_
_space_group_symop_operation_xyz
'x,y,z'
loop_
_atom_site_label
_atom_site_type_symbol
_atom_site_fract_x
_atom_site_fract_y
_atom_site_fract_z
Pu1 Pu 0.000 0.000 0.000
Be1 Be 0.667 0.333 0.500
As1 As 0.333 0.667 0.500
```

## Properties
* spin magnetization: 1.833 μB/atom

---

In order of decreasing stability: version two, version one.

---

Version one
DFT (GGA-PBE) results for a relaxed structure of PuBeAs2.

Structure (CIF):
```
data_PuBeAs2
_chemical_formula_sum 'Pu1 Be1 As2'
_space_group_name_H-M_alt 'P 1'
_space_group_IT_number 1
_cell_length_a 9.358
_cell_length_b 9.358
_cell_length_c 9.358
_cell_angle_alpha 19.21
_cell_angle_beta 19.21
_cell_angle_gamma 19.21
loop_
_space_group_symop_operation_xyz
'x,y,z'
loop_
_atom_site_label
_atom_site_type_symbol
_atom_site_fract_x
_atom_site_fract_y
_atom_site_fract_z
Pu1 Pu 0.000 0.000 0.000
Be1 Be 0.500 0.500 0.500
As1 As 0.107 0.107 0.107
As2 As 0.893 0.893 0.893
```

## Properties
* spin magnetization: 1.421 μB/atom

---

Version two
DFT (GGA-PBE) results for a relaxed structure of PuBeAs2.

Structure (CIF):
```
data_PuBeAs2
_chemical_formula_sum 'Pu2 Be2 As4'
_space_group_name_H-M_alt 'P 1'
_space_group_IT_number 1
_cell_length_a 3.915
_cell_length_b 3.915
_cell_length_c 9.549
_cell_angle_alpha 90.00
_cell_angle_beta 90.00
_cell_angle_gamma 90.00
loop_
_space_group_symop_operation_xyz
'x,y,z'
loop_
_atom_site_label
_atom_site_type_symbol
_atom_site_fract_x
_atom_site_fract_y
_atom_site_fract_z
Pu1 Pu 0.250 0.250 0.238
Pu2 Pu 0.750 0.750 0.762
Be1 Be 0.250 0.750 0.500
Be2 Be 0.750 0.250 0.500
As1 As 0.250 0.250 0.640
As2 As 0.250 0.750 0.000
As3 As 0.750 0.250 0.000
As4 As 0.750 0.750 0.360
```

## Properties
* spin magnetization: 1.387 μB/atom

---

In order of decreasing stability: version two, version one.

---

Version one
DFT (GGA-PBE) results for a relaxed structure of Rb2BeAs.

Structure (CIF):
```
data_Rb2BeAs
_chemical_formula_sum 'Rb2 Be1 As1'
_space_group_name_H-M_alt 'P 1'
_space_group_IT_number 1
_cell_length_a 5.841
_cell_length_b 5.841
_cell_length_c 5.841
_cell_angle_alpha 60.00
_cell_angle_beta 60.00
_cell_angle_gamma 60.00
loop_
_space_group_symop_operation_xyz
'x,y,z'
loop_
_atom_site_label
_atom_site_type_symbol
_atom_site_fract_x
_atom_site_fract_y
_atom_site_fract_z
Rb1 Rb 0.250 0.250 0.250
Rb2 Rb 0.750 0.750 0.750
Be1 Be 0.000 0.000 0.000
As1 As 0.500 0.500 0.500
```

## Properties
* spin magnetization: 0.218 μB/atom

---

Version two
DFT (GGA-PBE) results for a relaxed structure of Rb2BeAs.

Structure (CIF):
```
data_Rb2BeAs
_chemical_formula_sum 'Rb4 Be2 As2'
_space_group_name_H-M_alt 'P 1'
_space_group_IT_number 1
_cell_length_a 11.936
_cell_length_b 11.936
_cell_length_c 11.936
_cell_angle_alpha 156.27
_cell_angle_beta 156.27
_cell_angle_gamma 33.81
loop_
_space_group_symop_operation_xyz
'x,y,z'
loop_
_atom_site_label
_atom_site_type_symbol
_atom_site_fract_x
_atom_site_fract_y
_atom_site_fract_z
Rb1 Rb 0.119 0.625 0.994
Rb2 Rb 0.375 0.369 0.494
Rb3 Rb 0.631 0.125 0.006
Rb4 Rb 0.875 0.881 0.506
Be1 Be 0.000 0.000 0.000
Be2 Be 0.750 0.250 0.500
As1 As 0.250 0.750 0.500
As2 As 0.500 0.500 0.000
```

## Properties
* spin magnetization: 0.000 μB/atom

---

In order of decreasing stability: version one, version two.

---

Version one
DFT (GGA-PBE) results for a relaxed structure of RbBe2As2.

Structure (CIF):
```
data_RbBe2As2
_chemical_formula_sum 'Rb1 Be2 As2'
_space_group_name_H-M_alt 'P 1'
_space_group_IT_number 1
_cell_length_a 3.540
_cell_length_b 3.540
_cell_length_c 8.233
_cell_angle_alpha 90.00
_cell_angle_beta 90.00
_cell_angle_gamma 90.00
loop_
_space_group_symop_operation_xyz
'x,y,z'
loop_
_atom_site_label
_atom_site_type_symbol
_atom_site_fract_x
_atom_site_fract_y
_atom_site_fract_z
Rb1 Rb 0.000 0.000 0.000
Be1 Be 0.000 0.500 0.500
Be2 Be 0.500 0.000 0.500
As1 As 0.500 0.500 0.310
As2 As 0.500 0.500 0.690
```

## Properties
* spin magnetization: 0.000 μB/atom

---

Version two
DFT (GGA-PBE) results for a relaxed structure of RbBe2As2.

Structure (CIF):
```
data_RbBe2As2
_chemical_formula_sum 'Rb1 Be2 As2'
_space_group_name_H-M_alt 'P 1'
_space_group_IT_number 1
_cell_length_a 8.195
_cell_length_b 8.195
_cell_length_c 8.195
_cell_angle_alpha 154.33
_cell_angle_beta 154.33
_cell_angle_gamma 36.62
loop_
_space_group_symop_operation_xyz
'x,y,z'
loop_
_atom_site_label
_atom_site_type_symbol
_atom_site_fract_x
_atom_site_fract_y
_atom_site_fract_z
Rb1 Rb 0.000 0.000 0.000
Be1 Be 0.250 0.750 0.500
Be2 Be 0.750 0.250 0.500
As1 As 0.343 0.343 0.000
As2 As 0.657 0.657 0.000
```

## Properties
* spin magnetization: 0.000 μB/atom

---

In order of decreasing stability: version two, version one.